Record 1
Below is a geometry-optimized RbGa2Au4 structure, with properties calculated at the PBE level.

The value obtained for the energy is -3.073 eV per atom.

The structure belongs to space group P4_2/mnm (No. 136); the cell edges are 8.468, 8.468 and 4.140 Å and the angles 90.00°, 90.00° and 90.00°. The asymmetric unit holds Rb at (0.000, 0.000, 0.000), Ga at (0.225, 0.225, 0.500) and Au at (0.079, 0.667, 0.500).


Record 2
Below is a geometry-optimized Rb2Ga4Au5 structure, with properties calculated at the PBE level.

The calculation puts the energy above the most stable polymorph in this dataset at 0 meV per atom.

The structure belongs to space group Fmmm (No. 69); the cell edges are 6.572, 11.507 and 14.526 Å and the angles 90.00°, 90.00° and 90.00°. The asymmetric unit holds Rb at (0.000, 0.000, 0.136), Ga at (0.000, 0.163, 0.373), Au at (0.000, 0.000, 0.500), Au at (0.250, 0.250, 0.000) and Au at (0.250, 0.250, 0.250).


Record 3
Below is a geometry-optimized RbGa3Au structure, with properties calculated at the PBE level.

The calculation puts the energy above the most stable polymorph in this dataset at 283 meV per atom.

The structure belongs to space group Pm-3m (No. 221); the cell edges are 5.227, 5.227 and 5.227 Å and the angles 90.00°, 90.00° and 90.00°. The asymmetric unit holds Rb at (0.000, 0.000, 0.000), Ga at (0.000, 0.500, 0.500) and Au at (0.500, 0.500, 0.500).


Record 4
Below is a geometry-optimized Rb3GaAu2 structure, with properties calculated at the PBE level.

The value obtained for the energy is -2.263 eV per atom.

The structure belongs to space group P2_1/c (No. 14); the cell edges are 9.289, 10.859 and 11.235 Å and the angles 90.00°, 115.98° and 90.00°. The asymmetric unit holds Rb at (0.215, 0.211, 0.313), Rb at (0.240, 0.542, 0.145), Rb at (0.264, 0.588, 0.539), Ga at (0.407, 0.591, 0.912), Au at (0.097, 0.583, 0.795) and Au at (0.451, 0.233, 0.141).


Record 5
Below is a geometry-optimized RbGaAu4 structure, with properties calculated at the PBE level.

The value obtained for the energy is -2.862 eV per atom.

The structure belongs to space group F-43m (No. 216); the cell edges are 8.157, 8.157 and 8.157 Å and the angles 90.00°, 90.00° and 90.00°. The asymmetric unit holds Rb at (0.000, 0.000, 0.000), Ga at (0.250, 0.250, 0.750) and Au at (0.125, 0.125, 0.375).


Record 6
Below is a geometry-optimized Rb3Ga3Au5 structure, with properties calculated at the PBE level.

The value obtained for the energy is -2.788 eV per atom.

The structure belongs to space group P-62m (No. 189); the cell edges are 7.9221, 7.9221 and 6.5553 Å and the angles 90.00°, 90.00° and 120.00°. The asymmetric unit holds Rb at (0.0000, 0.6535, 0.0000), Ga at (0.0000, 0.3565, 0.5000), Au at (0.0000, 0.7201, 0.5000) and Au at (0.3333, 0.6667, 0.5000).


Copy entry 3 word for word.
Below is a geometry-optimized RbGa3Au structure, with properties calculated at the PBE level.

The calculation puts the energy above the most stable polymorph in this dataset at 283 meV per atom.

The structure belongs to space group Pm-3m (No. 221); the cell edges are 5.227, 5.227 and 5.227 Å and the angles 90.00°, 90.00° and 90.00°. The asymmetric unit holds Rb at (0.000, 0.000, 0.000), Ga at (0.000, 0.500, 0.500) and Au at (0.500, 0.500, 0.500).